This record from Alexandria describes a relaxed structure of Ca2MgRh. The functional is PBE.

```
data_Ca2MgRh
_chemical_formula_sum 'Ca2 Mg1 Rh1'
_space_group_name_H-M_alt 'P 4/m m m'
_space_group_IT_number 123
_space_group_name_Hall '-P 4 2'
_cell_length_a 3.458
_cell_length_b 3.458
_cell_length_c 8.618
_cell_angle_alpha 90.00
_cell_angle_beta 90.00
_cell_angle_gamma 90.00
loop_
_atom_site_label
_atom_site_type_symbol
_atom_site_fract_x
_atom_site_fract_y
_atom_site_fract_z
_atom_site_occupancy
Ca1 Ca 0.000 0.000 0.194 1
Mg1 Mg 0.500 0.500 0.500 1
Rh1 Rh 0.500 0.500 0.000 1
```

This record from Alexandria describes a relaxed structure of CaMgRh. The functional is PBE.

```
data_CaMgRh
_chemical_formula_sum 'Ca4 Mg4 Rh4'
_space_group_name_H-M_alt 'F -4 3 m'
_space_group_IT_number 216
_space_group_name_Hall 'F -4 2 3'
_cell_length_a 6.582
_cell_length_b 6.582
_cell_length_c 6.582
_cell_angle_alpha 90.00
_cell_angle_beta 90.00
_cell_angle_gamma 90.00
loop_
_atom_site_label
_atom_site_type_symbol
_atom_site_fract_x
_atom_site_fract_y
_atom_site_fract_z
_atom_site_occupancy
Ca1 Ca 0.000 0.000 0.000 1
Mg1 Mg 0.000 0.000 0.500 1
Rh1 Rh 0.250 0.250 0.750 1
```

This record from Alexandria describes a relaxed structure of Ca2MgRh. The functional is PBE.

```
data_Ca2MgRh
_chemical_formula_sum 'Ca2 Mg1 Rh1'
_space_group_name_H-M_alt 'P 1 m 1'
_space_group_IT_number 6
_space_group_name_Hall 'P -2y'
_cell_length_a 4.292
_cell_length_b 4.426
_cell_length_c 5.988
_cell_angle_alpha 90.00
_cell_angle_beta 110.89
_cell_angle_gamma 90.00
loop_
_atom_site_label
_atom_site_type_symbol
_atom_site_fract_x
_atom_site_fract_y
_atom_site_fract_z
_atom_site_occupancy
Ca1 Ca 0.000 0.000 0.000 1
Ca2 Ca 0.286 0.500 0.573 1
Mg1 Mg 0.585 0.500 0.172 1
Rh1 Rh 0.706 0.000 0.415 1
```

This record from Alexandria describes a relaxed structure of CaMg4Rh2. The functional is PBE.

```
data_CaMg4Rh2
_chemical_formula_sum 'Ca2 Mg8 Rh4'
_space_group_name_H-M_alt 'P 42/m n m'
_space_group_IT_number 136
_space_group_name_Hall '-P 4n 2n'
_cell_length_a 8.169
_cell_length_b 8.169
_cell_length_c 4.297
_cell_angle_alpha 90.00
_cell_angle_beta 90.00
_cell_angle_gamma 90.00
loop_
_atom_site_label
_atom_site_type_symbol
_atom_site_fract_x
_atom_site_fract_y
_atom_site_fract_z
_atom_site_occupancy
Ca1 Ca 0.000 0.000 0.000 1
Mg1 Mg 0.086 0.330 0.500 1
Rh1 Rh 0.227 0.773 0.500 1
```

For each record above, in turn, the calculated formation energy values are -240, -220, -218, -339 meV per atom.